(1)
# LaCdGa | Alexandria via LeMat-Bulk | GGA-PBE | optimized geometry
data_LaCdGa
_cell_length_a 11.786
_cell_length_b 4.715
_cell_length_c 6.534
_cell_angle_alpha 90.00
_cell_angle_beta 120.49
_cell_angle_gamma 90.00
_space_group_name_H-M_alt 'C 1 m 1'
_space_group_IT_number 8
_space_group_name_Hall 'C -2y'
loop_
_atom_site_label
_atom_site_type_symbol
_atom_site_fract_x
_atom_site_fract_y
_atom_site_fract_z
La1 La 0.000 0.000 0.000
La2 La 0.151 0.500 0.538
Cd1 Cd 0.230 0.500 0.106
Cd2 Cd 0.346 0.000 0.502
Ga1 Ga 0.287 0.000 0.924
Ga2 Ga 0.484 0.500 0.518
# * density of states at the Fermi level: 5.7 states/eV per cell
# * crystal system: monoclinic
# * energy: -3.330 eV per atom
# * energy relative to the elements: -374 meV per atom

---

(2)
# RbTb2AgBr8 | Alexandria via LeMat-Bulk | GGA-PBE | optimized geometry
data_RbTb2AgBr8
_cell_length_a 7.182
_cell_length_b 7.278
_cell_length_c 8.691
_cell_angle_alpha 90.06
_cell_angle_beta 90.02
_cell_angle_gamma 98.17
_space_group_name_H-M_alt 'P -1'
_space_group_IT_number 2
_space_group_name_Hall '-P 1'
loop_
_atom_site_label
_atom_site_type_symbol
_atom_site_fract_x
_atom_site_fract_y
_atom_site_fract_z
Rb1 Rb 0.000 0.000 0.000
Tb1 Tb 0.500 0.500 0.259
Ag1 Ag 0.000 0.000 0.500
Br1 Br 0.270 0.159 0.717
Br2 Br 0.272 0.159 0.283
Br3 Br 0.278 0.626 0.500
Br4 Br 0.290 0.618 0.000
# * density of states at the Fermi level: 0.0 states/eV per cell
# * crystal system: triclinic
# * energy relative to the elements, uncorrected: -1.5580 eV per atom
# * energy: -3.763 eV per atom

---

(3)
# CuHg2Pd2O6 | Alexandria via LeMat-Bulk | GGA-PBE | optimized geometry
data_CuHg2Pd2O6
_cell_length_a 5.411
_cell_length_b 9.179
_cell_length_c 7.366
_cell_angle_alpha 90.00
_cell_angle_beta 107.93
_cell_angle_gamma 90.00
_space_group_name_H-M_alt 'C 1 2/m 1'
_space_group_IT_number 12
_space_group_name_Hall '-C 2y'
loop_
_atom_site_label
_atom_site_type_symbol
_atom_site_fract_x
_atom_site_fract_y
_atom_site_fract_z
Cu1 Cu 0.000 0.000 0.000
Hg1 Hg 0.000 0.231 0.500
Pd1 Pd 0.000 0.334 0.000
O1 O 0.108 0.500 0.858
O2 O 0.109 0.166 0.858
# * density of states at the Fermi level: 4.7 states/eV per cell
# * crystal system: monoclinic
# * energy relative to the elements, uncorrected: -0.2955 eV per atom
# * energy: -4.371 eV per atom

---

(4)
# Rb2YSbTe4 | Alexandria via LeMat-Bulk | GGA-PBE | optimized geometry
data_Rb2YSbTe4
_cell_length_a 9.436
_cell_length_b 9.562
_cell_length_c 13.435
_cell_angle_alpha 90.00
_cell_angle_beta 90.00
_cell_angle_gamma 90.00
_space_group_name_H-M_alt 'I m m a'
_space_group_IT_number 74
_space_group_name_Hall '-I 2b 2'
loop_
_atom_site_label
_atom_site_type_symbol
_atom_site_fract_x
_atom_site_fract_y
_atom_site_fract_z
Rb1 Rb 0.000 0.000 0.000
Rb2 Rb 0.250 0.250 0.250
Y1 Y 0.250 0.250 0.750
Sb1 Sb 0.000 0.000 0.500
Te1 Te 0.000 0.033 0.733
Te2 Te 0.218 0.250 0.517
# * crystal system: orthorhombic
# * energy relative to the elements, uncorrected: -0.9168 eV per atom
# * energy: -4.053 eV per atom

---

(5)
# MnPIrS2 | Alexandria via LeMat-Bulk | GGA-PBE | optimized geometry
data_MnPIrS2
_cell_length_a 4.305
_cell_length_b 4.305
_cell_length_c 4.350
_cell_angle_alpha 90.00
_cell_angle_beta 90.00
_cell_angle_gamma 90.00
_space_group_name_H-M_alt 'P 4/m m m'
_space_group_IT_number 123
_space_group_name_Hall '-P 4 2'
loop_
_atom_site_label
_atom_site_type_symbol
_atom_site_fract_x
_atom_site_fract_y
_atom_site_fract_z
Mn1 Mn 0.000 0.000 0.000
P1 P 0.000 0.000 0.500
Ir1 Ir 0.500 0.500 0.500
S1 S 0.000 0.500 0.000
# * density of states at the Fermi level: 3.9 states/eV per cell
# * crystal system: tetragonal
# * distance to the lowest polymorph of the same formula: 222.9 meV/atom
# * energy relative to the elements, uncorrected: 0.8495 eV per atom
# * energy: -5.490 eV per atom

---

(6)
# Li2Sn3P4O14 | Alexandria via LeMat-Bulk | GGA-PBE | optimized geometry
data_Li2Sn3P4O14
_cell_length_a 6.314
_cell_length_b 7.580
_cell_length_c 8.070
_cell_angle_alpha 104.03
_cell_angle_beta 98.30
_cell_angle_gamma 113.24
_space_group_name_H-M_alt 'P -1'
_space_group_IT_number 2
_space_group_name_Hall '-P 1'
loop_
_atom_site_label
_atom_site_type_symbol
_atom_site_fract_x
_atom_site_fract_y
_atom_site_fract_z
Li1 Li 0.215 0.037 0.303
Sn1 Sn 0.186 0.469 0.702
Sn2 Sn 0.500 0.000 0.000
P1 P 0.149 0.306 0.067
P2 P 0.413 0.737 0.333
O1 O 0.075 0.715 0.867
O2 O 0.098 0.259 0.864
O3 O 0.203 0.674 0.419
O4 O 0.267 0.184 0.130
O5 O 0.343 0.546 0.149
O6 O 0.354 0.233 0.551
O7 O 0.436 0.915 0.267
# * density of states at the Fermi level: 0.0 states/eV per cell
# * crystal system: triclinic
# * distance to the lowest polymorph of the same formula: 0.0 meV/atom
# * energy relative to the elements, uncorrected: -2.0048 eV per atom
# * energy: -6.652 eV per atom

---

(7)
# Li2Mg5Ga2 | Alexandria via LeMat-Bulk | GGA-PBE | optimized geometry
data_Li2Mg5Ga2
_cell_length_a 17.710
_cell_length_b 6.937
_cell_length_c 6.518
_cell_angle_alpha 90.00
_cell_angle_beta 90.00
_cell_angle_gamma 90.00
_space_group_name_H-M_alt 'I m a 2'
_space_group_IT_number 46
_space_group_name_Hall 'I 2 -2a'
loop_
_atom_site_label
_atom_site_type_symbol
_atom_site_fract_x
_atom_site_fract_y
_atom_site_fract_z
Li1 Li 0.000 0.000 0.000
Li2 Li 0.250 0.036 0.996
Mg1 Mg 0.126 0.249 0.745
Mg2 Mg 0.157 0.749 0.245
Mg3 Mg 0.250 0.039 0.494
Ga1 Ga 0.067 0.539 0.994
# * density of states at the Fermi level: 13.1 states/eV per cell
# * crystal system: orthorhombic
# * energy: -1.998 eV per atom
# * energy relative to the elements: -14 meV per atom

---

(8)
# NbV2Co2 | Alexandria via LeMat-Bulk | GGA-PBE | optimized geometry
data_NbV2Co2
_cell_length_a 3.638
_cell_length_b 3.638
_cell_length_c 10.561
_cell_angle_alpha 90.00
_cell_angle_beta 90.00
_cell_angle_gamma 90.00
_space_group_name_H-M_alt 'I 4/m m m'
_space_group_IT_number 139
_space_group_name_Hall '-I 4 2'
loop_
_atom_site_label
_atom_site_type_symbol
_atom_site_fract_x
_atom_site_fract_y
_atom_site_fract_z
Nb1 Nb 0.000 0.000 0.000
V1 V 0.000 0.000 0.384
Co1 Co 0.000 0.500 0.250
# * density of states at the Fermi level: 11.0 states/eV per cell
# * crystal system: tetragonal
# * distance to the lowest polymorph of the same formula: 261.2 meV/atom
# * energy: -8.305 eV per atom
# * energy relative to the elements: 199 meV per atom